No. 1
ScHg2Os | GGA-PBE | optimized geometry

```
4
Lattice="3.007 0.000 0.000 0.000 4.711 0.000 -1.357 0.000 5.434" Properties=species:S:1:pos:R:3 pbc="T T T"
Sc 0.000 0.000 0.000
Hg 0.214 2.356 4.020
Hg 1.436 2.356 1.414
Os -0.678 0.000 2.717
```

Calculated values
The space group is P2/m, No. 10.

No. 2
Ga3SnBi | GGA-PBE | optimized geometry

```
5
Lattice="5.281 0.000 0.000 0.000 5.281 0.000 0.000 0.000 5.281" Properties=species:S:1:pos:R:3 pbc="T T T"
Ga 0.000 0.000 2.640
Ga 0.000 2.640 0.000
Ga 2.640 0.000 0.000
Sn 0.000 0.000 0.000
Bi 2.640 2.640 2.640
```

Calculated values
The space group is Pm-3m, No. 221.

No. 3
VCoW | GGA-PBE | optimized geometry

```
3
Lattice="4.279 0.000 0.000 -2.140 3.706 0.000 0.000 0.000 2.580" Properties=species:S:1:pos:R:3 pbc="T T T"
V 0.000 0.000 0.000
Co 0.000 2.471 0.813
W 2.140 1.235 1.679
```

Calculated values
The space group is P3m1, No. 156.

The records above yield M_tot values of 0.09, 0.00, 0.65 μB/atom, respectively.
The records above yield formation energy from the elements values of 1.1, 2.2, 0.4 eV/f.u., respectively.